Below is a relaxed Nb3SnRh6 crystal, with properties calculated at the PBE level.

Cell: 10.0729 13.1941 5.0144 Å, 90.00 90.00 90.00°
Space group Cmc2_1 (No. 36)
One atom of each set of equivalent atoms:
Nb  0.0000  0.1187  0.0000
Nb  0.2010  0.4061  0.6571
Sn  0.0000  0.3275  0.0262
Rh  0.0000  0.2445  0.5363
Rh  0.0000  0.4726  0.3691
Rh  0.1314  0.0514  0.5160
Rh  0.2401  0.2905  0.2330

Computed properties:
The energy of formation is -0.20 eV/atom. The value obtained for the uncorrected energy is -8.030 eV/atom.

=====

Below is a relaxed In2SnRu crystal, with properties calculated at the PBE level.

Cell: 10.1830 10.1830 5.0694 Å, 90.00 90.00 90.00°
Space group I4_1/amd (No. 141, origin choice 2)
One atom of each set of equivalent atoms:
In  0.0000  0.0000  0.0000
Sn  0.0000  0.2500  0.3750
Ru  0.0000  0.2500  0.8750

Computed properties:
The energy of formation is 0.04 eV/atom. The value obtained for the uncorrected energy is -4.646 eV/atom.

=====

Below is a relaxed LiHoP4O12 crystal, with properties calculated at the PBE level.

Cell: 16.4070 7.1242 9.6761 Å, 90.00 126.00 90.00°
Space group C2/c (No. 15)
One atom of each set of equivalent atoms:
Li  0.0000  0.2071  0.2500
Ho  0.0000  0.2933  0.7500
P  0.1368  0.0503  0.6168
P  0.1450  0.3518  0.1928
O  0.0666  0.0041  0.4289
O  0.0711  0.4201  0.2254
O  0.1118  0.2107  0.6860
O  0.1240  0.3841  0.0215
O  0.1549  0.1291  0.2325
O  0.2457  0.0769  0.6540

Computed properties:
The value obtained for the uncorrected energy is -7.331 eV/atom. The formation energy without anion corrections comes out at -2.462 eV per atom.

=====

Below is a relaxed Pr2TmBi crystal, with properties calculated at the PBE level.

Cell: 4.1851 4.1851 28.7579 Å, 90.00 90.00 120.00°
Space group R3m (No. 160, hexagonal axes)
One atom of each set of equivalent atoms:
Pr  0.0000  0.0000  0.0000
Pr  0.0000  0.0000  0.1889
Tm  0.0000  0.0000  0.4274
Bi  0.0000  0.0000  0.5943

Computed properties:
The energy of formation is -0.17 eV/atom. The value obtained for the uncorrected energy is -4.651 eV/atom. Its distance to the lowest polymorph of the same formula is 220 meV/atom.

=====

Below is a relaxed SrCuRu2O8 crystal, with properties calculated at the PBE level.

Cell: 7.6688 6.3209 7.0208 Å, 90.00 103.08 90.00°
Space group C2/m (No. 12)
One atom of each set of equivalent atoms:
Sr  0.0000  0.0000  0.0000
Cu  0.0000  0.0000  0.5000
Ru  0.0652  0.5000  0.2454
O  0.0267  0.2449  0.7241
O  0.1704  0.5000  0.0352
O  0.2503  0.0000  0.5389

Computed properties:
The value obtained for the uncorrected energy is -6.422 eV/atom. The formation energy without anion corrections comes out at -1.089 eV per atom.

=====

Below is a relaxed Ce2HoPuTe5 crystal, with properties calculated at the PBE level.

Cell: 5.4839 5.4839 11.7840 Å, 90.00 90.00 90.00°
Space group P4/mmm (No. 123)
One atom of each set of equivalent atoms:
Ce  0.0000  0.0000  0.1931
Ho  0.5000  0.5000  0.0000
Pu  0.5000  0.5000  0.5000
Te  0.0000  0.0000  0.5000
Te  0.0000  0.5000  0.0000
Te  0.5000  0.5000  0.2500

Computed properties:
The value obtained for the uncorrected energy is -5.940 eV/atom. The formation energy without anion corrections comes out at -0.775 eV per atom.

=====

Below is a relaxed La2YIn2Ag2 crystal, with properties calculated at the PBE level.

Cell: 4.8776 4.8776 27.3275 Å, 90.00 90.00 120.00°
Space group R-3m (No. 166, hexagonal axes)
One atom of each set of equivalent atoms:
La  0.0000  0.0000  0.1291
Y  0.0000  0.0000  0.0000
In  0.0000  0.0000  0.2670
Ag  0.0000  0.0000  0.3915

Computed properties:
The energy of formation is -0.33 eV/atom. The value obtained for the uncorrected energy is -4.263 eV/atom.

=====

Below is a relaxed Zr2USn crystal, with properties calculated at the PBE level.

Cell: 3.2424 3.2424 31.0014 Å, 90.00 90.00 120.00°
Space group R-3m (No. 166, hexagonal axes)
One atom of each set of equivalent atoms:
Zr  0.0000  0.0000  0.2480
U  0.0000  0.0000  0.0000
Sn  0.0000  0.0000  0.5000

Computed properties:
The energy of formation is 0.06 eV/atom. The value obtained for the uncorrected energy is -8.039 eV/atom. Its distance to the lowest polymorph of the same formula is 202 meV/atom.

=====

Below is a relaxed In2CoNi crystal, with properties calculated at the PBE level.

Cell: 4.4191 3.0845 5.2954 Å, 90.00 113.48 90.00°
Space group P2/m (No. 10)
One atom of each set of equivalent atoms:
In  0.0000  0.0000  0.0000
In  0.0000  0.5000  0.5000
Co  0.5000  0.0000  0.5000
Ni  0.5000  0.5000  0.0000

Computed properties:
The energy of formation is 0.24 eV/atom. The value obtained for the uncorrected energy is -4.355 eV/atom. Its distance to the lowest polymorph of the same formula is 211 meV/atom.

=====

Below is a relaxed EuDyLuCd crystal, with properties calculated at the PBE level.

Cell: 7.7917 7.7917 7.7917 Å, 90.00 90.00 90.00°
Space group F-43m (No. 216)
One atom of each set of equivalent atoms:
Eu  0.0000  0.0000  0.0000
Dy  0.0000  0.0000  0.5000
Lu  0.2500  0.2500  0.7500
Cd  0.2500  0.2500  0.2500

Computed properties:
The energy of formation is -0.01 eV/atom. The value obtained for the uncorrected energy is -5.089 eV/atom.

=====

Below is a relaxed MgAl3S crystal, with properties calculated at the PBE level.

Cell: 4.7842 4.7842 4.7842 Å, 90.00 90.00 90.00°
Space group Pm-3m (No. 221)
One atom of each set of equivalent atoms:
Mg  0.0000  0.0000  0.0000
Al  0.0000  0.5000  0.5000
S  0.5000  0.5000  0.5000

Computed properties:
The value obtained for the uncorrected energy is -3.027 eV/atom. Its distance to the lowest polymorph of the same formula is 0 meV/atom. The formation energy without anion corrections comes out at 0.363 eV per atom.

=====

Below is a relaxed PaGePdO6 crystal, with properties calculated at the PBE level.

Cell: 4.9392 4.9392 9.3661 Å, 90.00 90.00 90.00°
Space group P4_2nm (No. 102)
One atom of each set of equivalent atoms:
Pa  0.0000  0.0000  0.0000
Ge  0.0000  0.0000  0.6630
Pd  0.0000  0.0000  0.3325
O  0.1770  0.1770  0.5070
O  0.1809  0.1809  0.8122
O  0.2090  0.2090  0.1661

Computed properties:
The value obtained for the uncorrected energy is -7.354 eV/atom. The formation energy without anion corrections comes out at -1.903 eV per atom.